## FeF (PBE with a Hubbard U)

Data for an optimized crystal structure of FeF.

## Properties
- Crystal system: tetragonal
- E above lowest polymorph: 0.228 eV per formula unit
- DFT total energy: -4.976 eV/atom

Cell: 9.126 9.126 2.942 Å, 90.00 90.00 90.00°
Space group P4/m (No. 83)
Unique sites:
Fe  0.100  0.184  0.000 (multiplicity 4)
Fe  0.128  0.626  0.500 (multiplicity 4)
F  0.099  0.402  0.500 (multiplicity 4)
F  0.281  0.676  0.000 (multiplicity 4)